# DyBC2, relaxed, DFT PBE-GGA
data_DyBC2
_chemical_formula_sum 'Dy1 B1 C2'
_space_group_name_H-M_alt 'P m m m'
_space_group_IT_number 47
_cell_length_a 2.842
_cell_length_b 3.394
_cell_length_c 4.537
_cell_angle_alpha 90.00
_cell_angle_beta 90.00
_cell_angle_gamma 90.00
loop_
_space_group_symop_operation_xyz
'x,y,z'
'-x,-y,-z'
'-x,-y,z'
'x,y,-z'
'x,-y,-z'
'-x,y,z'
'-x,y,-z'
'x,-y,z'
loop_
_atom_site_label
_atom_site_type_symbol
_atom_site_fract_x
_atom_site_fract_y
_atom_site_fract_z
Dy1 Dy 0.000 0.000 0.000
B1 B 0.000 0.500 0.500
C1 C 0.500 0.500 0.314
# formation enthalpy at 0 K = 0.512 eV per atom

# Pr2NdSn, relaxed, DFT PBE-GGA
data_Pr2NdSn
_chemical_formula_sum 'Pr8 Nd4 Sn4'
_space_group_name_H-M_alt 'F m -3 m'
_space_group_IT_number 225
_space_group_name_Hall '-F 4 2 3'
_cell_length_a 7.938
_cell_length_b 7.938
_cell_length_c 7.938
_cell_angle_alpha 90.00
_cell_angle_beta 90.00
_cell_angle_gamma 90.00
loop_
_atom_site_label
_atom_site_type_symbol
_atom_site_fract_x
_atom_site_fract_y
_atom_site_fract_z
Pr1 Pr 0.250 0.250 0.250
Nd1 Nd 0.000 0.000 0.000
Sn1 Sn 0.000 0.000 0.500
# formation enthalpy at 0 K = -0.257 eV per atom
# relative energy among the computed polymorphs = 0.196 eV per atom

# CePr5Si4, relaxed, DFT PBE-GGA
data_CePr5Si4
_chemical_formula_sum 'Ce2 Pr10 Si8'
_space_group_name_H-M_alt 'C 1 2/m 1'
_space_group_IT_number 12
_cell_length_a 15.716
_cell_length_b 5.131
_cell_length_c 7.034
_cell_angle_alpha 90.00
_cell_angle_beta 91.13
_cell_angle_gamma 90.00
loop_
_space_group_symop_operation_xyz
'x,y,z'
'-x,-y,-z'
'-x,y,-z'
'x,-y,z'
'x+1/2,y+1/2,z'
'-x+1/2,-y+1/2,-z'
'-x+1/2,y+1/2,-z'
'x+1/2,-y+1/2,z'
loop_
_atom_site_label
_atom_site_type_symbol
_atom_site_fract_x
_atom_site_fract_y
_atom_site_fract_z
Ce1 Ce 0.000 0.000 0.000
Pr1 Pr 0.000 0.000 0.500
Pr2 Pr 0.163 0.500 0.490
Pr3 Pr 0.166 0.500 0.003
Si1 Si 0.008 0.500 0.755
Si2 Si 0.176 0.000 0.249
# formation energy (no corrections) = -453 meV/atom

# Na3SbF, relaxed, DFT PBE-GGA
data_Na3SbF
_chemical_formula_sum 'Na12 Sb4 F4'
_space_group_name_H-M_alt 'C 1 2/m 1'
_space_group_IT_number 12
_cell_length_a 15.564
_cell_length_b 4.123
_cell_length_c 7.810
_cell_angle_alpha 90.00
_cell_angle_beta 91.48
_cell_angle_gamma 90.00
loop_
_space_group_symop_operation_xyz
'x,y,z'
'-x,-y,-z'
'-x,y,-z'
'x,-y,z'
'x+1/2,y+1/2,z'
'-x+1/2,-y+1/2,-z'
'-x+1/2,y+1/2,-z'
'x+1/2,-y+1/2,z'
loop_
_atom_site_label
_atom_site_type_symbol
_atom_site_fract_x
_atom_site_fract_y
_atom_site_fract_z
Na1 Na 0.069 0.000 0.151
Na2 Na 0.099 0.000 0.587
Na3 Na 0.176 0.500 0.864
Sb1 Sb 0.198 0.500 0.369
F1 F 0.080 0.000 0.866
# formation energy (no corrections) = -1127 meV/atom
# relative energy among the computed polymorphs = 0.113 eV per atom

# KSbBr3, relaxed, DFT PBE-GGA
data_KSbBr3
_chemical_formula_sum 'K1 Sb1 Br3'
_space_group_name_H-M_alt 'P m -3 m'
_space_group_IT_number 221
_space_group_name_Hall '-P 4 2 3'
_cell_length_a 5.853
_cell_length_b 5.853
_cell_length_c 5.853
_cell_angle_alpha 90.00
_cell_angle_beta 90.00
_cell_angle_gamma 90.00
loop_
_atom_site_label
_atom_site_type_symbol
_atom_site_fract_x
_atom_site_fract_y
_atom_site_fract_z
K1 K 0.000 0.000 0.000
Sb1 Sb 0.500 0.500 0.500
Br1 Br 0.000 0.000 0.500
# formation energy (no corrections) = -32 meV/atom
# relative energy among the computed polymorphs = 0.932 eV per atom

# LiCaRu2, relaxed, DFT PBE-GGA
data_LiCaRu2
_chemical_formula_sum 'Li2 Ca2 Ru4'
_space_group_name_H-M_alt 'C m m m'
_space_group_IT_number 65
_space_group_name_Hall '-C 2 2'
_cell_length_a 5.101
_cell_length_b 9.178
_cell_length_c 2.849
_cell_angle_alpha 90.00
_cell_angle_beta 90.00
_cell_angle_gamma 90.00
loop_
_atom_site_label
_atom_site_type_symbol
_atom_site_fract_x
_atom_site_fract_y
_atom_site_fract_z
Li1 Li 0.000 0.000 0.000
Ca1 Ca 0.000 0.500 0.000
Ru1 Ru 0.250 0.250 0.500
# formation enthalpy at 0 K = 0.447 eV per atom
# relative energy among the computed polymorphs = 0.207 eV per atom

# KSc3Hg, relaxed, DFT PBE-GGA
data_KSc3Hg
_chemical_formula_sum 'K1 Sc3 Hg1'
_space_group_name_H-M_alt 'P m -3 m'
_space_group_IT_number 221
_space_group_name_Hall '-P 4 2 3'
_cell_length_a 4.963
_cell_length_b 4.963
_cell_length_c 4.963
_cell_angle_alpha 90.00
_cell_angle_beta 90.00
_cell_angle_gamma 90.00
loop_
_atom_site_label
_atom_site_type_symbol
_atom_site_fract_x
_atom_site_fract_y
_atom_site_fract_z
K1 K 0.000 0.000 0.000
Sc1 Sc 0.000 0.000 0.500
Hg1 Hg 0.500 0.500 0.500
# formation enthalpy at 0 K = 1.302 eV per atom
# relative energy among the computed polymorphs = 0.882 eV per atom

# Ac3SiRh3, relaxed, DFT PBE-GGA
data_Ac3SiRh3
_chemical_formula_sum 'Ac6 Si2 Rh6'
_space_group_name_H-M_alt 'P 63/m'
_space_group_IT_number 176
_space_group_name_Hall '-P 6c'
_cell_length_a 8.8148
_cell_length_b 8.8148
_cell_length_c 5.9981
_cell_angle_alpha 90.00
_cell_angle_beta 90.00
_cell_angle_gamma 120.00
loop_
_atom_site_label
_atom_site_type_symbol
_atom_site_fract_x
_atom_site_fract_y
_atom_site_fract_z
Ac1 Ac 0.0656 0.3629 0.2500
Si1 Si 0.3333 0.6667 0.7500
Rh1 Rh 0.0823 0.3929 0.7500
# formation energy (no corrections) = -601 meV/atom
# relative energy among the computed polymorphs = 0.084 eV per atom

# KSc2In2, relaxed, DFT PBE-GGA
data_KSc2In2
_chemical_formula_sum 'K2 Sc4 In4'
_space_group_name_H-M_alt 'P 4/m b m'
_space_group_IT_number 127
_space_group_name_Hall '-P 4 2ab'
_cell_length_a 9.142
_cell_length_b 9.142
_cell_length_c 3.200
_cell_angle_alpha 90.00
_cell_angle_beta 90.00
_cell_angle_gamma 90.00
loop_
_atom_site_label
_atom_site_type_symbol
_atom_site_fract_x
_atom_site_fract_y
_atom_site_fract_z
K1 K 0.000 0.000 0.000
Sc1 Sc 0.121 0.379 0.000
In1 In 0.174 0.674 0.500
# formation enthalpy at 0 K = -0.189 eV per atom
# relative energy among the computed polymorphs = 0.000 eV per atom

# KYTl2, relaxed, DFT PBE-GGA
data_KYTl2
_chemical_formula_sum 'K2 Y2 Tl4'
_space_group_name_H-M_alt 'C 1 2/m 1'
_space_group_IT_number 12
_cell_length_a 9.952
_cell_length_b 3.549
_cell_length_c 8.068
_cell_angle_alpha 90.00
_cell_angle_beta 97.41
_cell_angle_gamma 90.00
loop_
_space_group_symop_operation_xyz
'x,y,z'
'-x,-y,-z'
'-x,y,-z'
'x,-y,z'
'x+1/2,y+1/2,z'
'-x+1/2,-y+1/2,-z'
'-x+1/2,y+1/2,-z'
'x+1/2,-y+1/2,z'
loop_
_atom_site_label
_atom_site_type_symbol
_atom_site_fract_x
_atom_site_fract_y
_atom_site_fract_z
K1 K 0.000 0.000 0.000
Y1 Y 0.000 0.500 0.500
Tl1 Tl 0.247 0.000 0.698
# formation enthalpy at 0 K = -0.048 eV per atom
# relative energy among the computed polymorphs = 0.161 eV per atom

# Ac5LaNi4, relaxed, DFT PBE-GGA
data_Ac5LaNi4
_chemical_formula_sum 'Ac10 La2 Ni8'
_space_group_name_H-M_alt 'C 1 2/m 1'
_space_group_IT_number 12
_cell_length_a 18.465
_cell_length_b 4.181
_cell_length_c 8.154
_cell_angle_alpha 90.00
_cell_angle_beta 90.10
_cell_angle_gamma 90.00
loop_
_space_group_symop_operation_xyz
'x,y,z'
'-x,-y,-z'
'-x,y,-z'
'x,-y,z'
'x+1/2,y+1/2,z'
'-x+1/2,-y+1/2,-z'
'-x+1/2,y+1/2,-z'
'x+1/2,-y+1/2,z'
loop_
_atom_site_label
_atom_site_type_symbol
_atom_site_fract_x
_atom_site_fract_y
_atom_site_fract_z
Ac1 Ac 0.000 0.000 0.000
Ac2 Ac 0.161 0.500 0.258
Ac3 Ac 0.161 0.500 0.743
La1 La 0.000 0.000 0.500
Ni1 Ni 0.000 0.500 0.256
Ni2 Ni 0.209 0.000 0.500
# formation enthalpy at 0 K = -0.186 eV per atom

# NaTl3Sb, relaxed, DFT PBE-GGA
data_NaTl3Sb
_chemical_formula_sum 'Na1 Tl3 Sb1'
_space_group_name_H-M_alt 'P m -3 m'
_space_group_IT_number 221
_space_group_name_Hall '-P 4 2 3'
_cell_length_a 5.563
_cell_length_b 5.563
_cell_length_c 5.563
_cell_angle_alpha 90.00
_cell_angle_beta 90.00
_cell_angle_gamma 90.00
loop_
_atom_site_label
_atom_site_type_symbol
_atom_site_fract_x
_atom_site_fract_y
_atom_site_fract_z
Na1 Na 0.000 0.000 0.000
Tl1 Tl 0.000 0.000 0.500
Sb1 Sb 0.500 0.500 0.500
# formation energy (no corrections) = 367 meV/atom
# relative energy among the computed polymorphs = 0.473 eV per atom

# Tb4Nd2SmMg, relaxed, DFT PBE-GGA
data_Tb4Nd2SmMg
_chemical_formula_sum 'Tb4 Nd2 Sm1 Mg1'
_space_group_name_H-M_alt 'P 4/m m m'
_space_group_IT_number 123
_space_group_name_Hall '-P 4 2'
_cell_length_a 5.003
_cell_length_b 5.003
_cell_length_c 10.226
_cell_angle_alpha 90.00
_cell_angle_beta 90.00
_cell_angle_gamma 90.00
loop_
_atom_site_label
_atom_site_type_symbol
_atom_site_fract_x
_atom_site_fract_y
_atom_site_fract_z
Tb1 Tb 0.000 0.500 0.247
Nd1 Nd 0.000 0.000 0.000
Nd2 Nd 0.500 0.500 0.500
Sm1 Sm 0.000 0.000 0.500
Mg1 Mg 0.500 0.500 0.000
# formation enthalpy at 0 K = 0.024 eV per atom